# 1
Crystalline La2ZnNi2 at its relaxed geometry, computed with PBEsol.

Structure (extended XYZ):
```
5
Lattice="-2.640 2.564 2.259 -3.183 -2.698 3.470 1.075 0.057 5.319" Properties=species:S:1:pos:R:3 pbc="T T T"
Ni -1.327 0.639 5.979
Zn 0.000 0.000 0.000
La -1.159 -0.293 3.106
Ni -3.421 -0.715 5.069
La -3.589 0.217 7.942
```

Output
Spin magnetization, μB/cell: 0.000
N(E_F), states/eV/cell: 3.93
Symmetry: Immm
E_form, kJ/mol of formula units: -165
Final energy, eV per atom: -5.259

# 2
Crystalline La3ZnNi at its relaxed geometry, computed with PBEsol.

Structure (extended XYZ):
```
5
Lattice="-4.104 0.086 -3.685 -3.134 -2.986 3.420 -1.941 4.638 2.270" Properties=species:S:1:pos:R:3 pbc="T T T"
La -2.052 0.043 -1.843
Zn 0.000 0.000 0.000
La -0.971 2.319 1.135
La -1.567 -1.493 1.710
Ni -4.589 0.869 1.002
```

Output
Spin magnetization, μB/cell: 0.001
N(E_F), states/eV/cell: 11.02
Symmetry: Pm-3m
E_form, kJ/mol of formula units: 346
Final energy, eV per atom: -4.039

# 3
Crystalline LaZnNi2 at its relaxed geometry, computed with PBEsol.

Structure (extended XYZ):
```
4
Lattice="-2.707 0.712 -1.465 -0.160 -2.943 -1.137 -3.260 -1.810 5.145" Properties=species:S:1:pos:R:3 pbc="T T T"
La -1.433 -1.116 -1.301
Ni -1.014 -0.563 1.600
Zn -3.063 -2.021 1.272
Ni -2.246 -1.247 3.545
```

Output
Spin magnetization, μB/cell: 0.000
N(E_F), states/eV/cell: 2.39
Symmetry: P4/mmm
E_form, kJ/mol of formula units: -50
Final energy, eV per atom: -4.940

# 4
Crystalline LaZn2Ni3 at its relaxed geometry, computed with PBEsol.

Structure (extended XYZ):
```
6
Lattice="-0.841 -3.659 -0.842 3.759 -1.597 3.184 -4.804 0.688 1.806" Properties=species:S:1:pos:R:3 pbc="T T T"
Ni -0.943 -2.284 2.074
La 0.000 0.000 0.000
Zn 0.904 -0.835 2.724
Ni -2.822 -1.485 0.482
Ni 1.459 -2.628 1.171
Zn -1.950 -0.074 2.265
```

Output
Spin magnetization, μB/cell: 0.000
N(E_F), states/eV/cell: 2.79
Symmetry: P6/mmm
E_form, kJ/mol of formula units: -204
Final energy, eV per atom: -4.849